(1)
Entry from Alexandria via LeMat-Bulk: a geometry-optimized RbMgO structure (PBE-GGA).

a = 7.224 Å, b = 8.833 Å, c = 8.833 Å
α = 81.04°, β = 65.86°, γ = 65.86°
Element x y z (fractional)
Rb 0.275 0.809 0.309
Rb 0.393 0.191 0.691
Rb 0.579 0.485 0.985
Rb 0.049 0.515 0.015
Rb 0.896 0.170 0.670
Rb 0.736 0.830 0.330
Mg 0.923 0.500 0.500
Mg 0.923 0.000 0.000
Mg 0.332 0.830 0.685
Mg 0.847 0.170 0.315
Mg 0.847 0.815 0.670
Mg 0.332 0.185 0.330
O 0.836 0.995 0.495
O 0.327 0.005 0.505
O 0.661 0.693 0.649
O 0.004 0.307 0.351
O 0.004 0.851 0.807
O 0.661 0.149 0.193

Magnetic moment   0.171 μB per cell
Density of states at the Fermi level   0.77 states/eV/f.u.
Crystal system   orthorhombic
Total DFT energy (no corrections)   -3.6739 eV per atom

---

(2)
Entry from Alexandria via LeMat-Bulk: a geometry-optimized PmPaN structure (PBE-GGA).

a = 6.063 Å, b = 3.529 Å, c = 3.529 Å
α = 120.00°, β = 90.00°, γ = 90.00°
Element x y z (fractional)
N 0.357 0.667 0.333
Pa 0.554 0.333 0.667
Pm 0.089 0.000 0.000

Magnetic moment   0.298 μB per cell
Density of states at the Fermi level   5.18 states/eV/f.u.
Crystal system   trigonal
Total DFT energy (no corrections)   -8.3003 eV per atom
Offset from the most stable computed form   0 meV/atom

---

(3)
Entry from Alexandria via LeMat-Bulk: a geometry-optimized BaAc15Pr4 structure (PBE-GGA).

a = 5.595 Å, b = 5.595 Å, c = 27.959 Å
α = 90.00°, β = 90.00°, γ = 90.00°
Element x y z (fractional)
Ba 0.000 0.000 0.000
Ac 0.500 0.500 0.000
Ac 0.500 0.500 0.205
Ac 0.500 0.500 0.401
Ac 0.500 0.500 0.599
Ac 0.500 0.500 0.795
Ac 0.500 0.000 0.107
Ac 0.500 0.000 0.303
Ac 0.500 0.000 0.500
Ac 0.500 0.000 0.697
Ac 0.500 0.000 0.893
Ac 0.000 0.500 0.107
Ac 0.000 0.500 0.303
Ac 0.000 0.500 0.500
Ac 0.000 0.500 0.697
Ac 0.000 0.500 0.893
Pr 0.000 0.000 0.204
Pr 0.000 0.000 0.402
Pr 0.000 0.000 0.598
Pr 0.000 0.000 0.796

Magnetic moment   0.000 μB per cell
Density of states at the Fermi level   36.82 states/eV/f.u.
Crystal system   tetragonal
Total DFT energy (no corrections)   -4.0969 eV per atom
ΔE_f   0.04 eV/atom

---

Question: Among the records above, which one has the highest total DFT energy (no corrections)?
Answer: RbMgO